Here is an optimized crystal structure of TlVF3 from Alexandria. Energies are from GGA+U.

Calculated values
The calculation puts the energy above the lowest structure with this stoichiometry at 0.3112 eV per atom.

abc: 3.733 3.733 15.051
angles: 90.00 90.00 120.00
Atoms (fractional coordinates):
1 Tl 0.000 0.000 0.000
2 Tl 0.000 0.000 0.500
3 V 0.333 0.667 0.250
4 V 0.667 0.333 0.750
5 F 0.000 0.000 0.250
6 F 0.000 0.000 0.750
7 F 0.333 0.667 0.115
8 F 0.333 0.667 0.385
9 F 0.667 0.333 0.615
10 F 0.667 0.333 0.885